(1)
Entry from the Alexandria database: an optimized crystal structure of Pu2MnO11 (GGA+U).

Values from the calculation:
Crystal system = orthorhombic
Raw total energy = -7.836 eV per atom
Space group = Ibam, No. 72

```
Pu2MnO11
1.0
7.1909 0.4044 4.4497
-5.8440 -1.3777 5.9685
1.1619 -5.8217 -6.0357
Mn Pu O
2 4 22
direct
0.2500 0.7500 0.5000
0.7500 0.2500 0.5000
0.2376 0.6951 0.9327
0.7624 0.3049 0.0673
0.7376 0.8049 0.5424
0.2624 0.1951 0.4576
0.9707 0.8537 0.5777
0.5007 0.2391 0.4914
0.5000 0.5000 0.0000
0.7760 0.3537 0.8830
0.1517 0.9515 0.1033
0.2523 0.9907 0.4914
0.8483 0.0485 0.8967
0.2477 0.7391 0.7385
0.3483 0.4515 0.7998
0.7523 0.2609 0.2615
0.4993 0.7609 0.5086
0.7240 0.6071 0.5777
0.0293 0.1463 0.4223
0.7477 0.0093 0.5086
0.4707 0.8929 0.1170
0.2240 0.6463 0.1170
0.0007 0.5093 0.2615
0.6517 0.5485 0.2002
0.0000 0.0000 0.0000
0.5293 0.1071 0.8830
0.2760 0.3929 0.4223
0.9993 0.4907 0.7385
```

(2)
Entry from the Alexandria database: an optimized crystal structure of RbPuMnO6 (GGA+U).

Values from the calculation:
Crystal system = monoclinic
Raw total energy = -7.742 eV per atom
Space group = C2, No. 5

```
RbPuMnO6
1.0
-1.2159 -0.5781 5.1016
-0.1508 -4.8196 2.1464
6.2171 0.4914 1.5227
O Pu Mn Rb
6 1 1 1
direct
0.6298 0.9897 0.3319
0.9890 0.3799 0.3320
0.9902 0.6305 0.6679
0.6311 0.3799 0.6679
0.3792 0.6305 0.3321
0.3805 0.9897 0.6681
0.3334 0.3333 0.5000
0.6666 0.6667 0.5000
0.0000 0.9999 0.0000
```